1.
DFT (GGA-PBEsol) results for a geometry-optimized Hg3Cl structure. Values from VASP.

Cell and atoms, written as Quantum ESPRESSO input:
```
&SYSTEM
  ibrav = 0, nat = 4, ntyp = 2
/
ATOMIC_SPECIES
Hg 200.59 Hg.upf
Cl 35.45 Cl.upf
CELL_PARAMETERS angstrom
4.824 -1.951 0.000
4.824 1.951 0.000
-2.854 0.000 5.237
ATOMIC_POSITIONS crystal
Hg 0.000 0.000 0.000
Hg 0.251 0.251 0.776
Hg 0.749 0.749 0.224
Cl 0.500 0.500 0.500
```

Values from the calculation:
polymorph energy (0 for the lowest one): 30 meV per atom
SG: C2/m

***

2.
DFT (GGA-PBEsol) results for a geometry-optimized HgCl3 structure. Values from VASP.

Cell and atoms, written as Quantum ESPRESSO input:
```
&SYSTEM
  ibrav = 0, nat = 8, ntyp = 2
/
ATOMIC_SPECIES
Hg 200.59 Hg.upf
Cl 35.45 Cl.upf
CELL_PARAMETERS angstrom
-1.903 1.903 12.298
1.903 -1.903 12.298
1.903 1.903 -12.298
ATOMIC_POSITIONS crystal
Hg 0.124 0.124 0.000
Hg 0.876 0.876 0.000
Cl 0.000 0.500 0.500
Cl 0.250 0.750 0.500
Cl 0.375 0.375 0.000
Cl 0.500 0.000 0.500
Cl 0.625 0.625 0.000
Cl 0.750 0.250 0.500
```

Values from the calculation:
SG: I4/mmm

***

3.
DFT (GGA-PBEsol) results for a geometry-optimized HgCl structure. Values from VASP.

Cell and atoms, written as Quantum ESPRESSO input:
```
&SYSTEM
  ibrav = 0, nat = 4, ntyp = 2
/
ATOMIC_SPECIES
Hg 200.59 Hg.upf
Cl 35.45 Cl.upf
CELL_PARAMETERS angstrom
6.278 0.000 0.000
0.000 3.929 0.000
0.000 0.000 3.971
ATOMIC_POSITIONS crystal
Hg 0.250 0.000 0.148
Hg 0.750 0.000 0.852
Cl 0.250 0.500 0.649
Cl 0.750 0.500 0.351
```

Values from the calculation:
polymorph energy (0 for the lowest one): 336 meV per atom
SG: Pmma

***

4.
DFT (GGA-PBEsol) results for a geometry-optimized Hg3Cl structure. Values from VASP.

Cell and atoms, written as Quantum ESPRESSO input:
```
&SYSTEM
  ibrav = 0, nat = 4, ntyp = 2
/
ATOMIC_SPECIES
Hg 200.59 Hg.upf
Cl 35.45 Cl.upf
CELL_PARAMETERS angstrom
3.725 0.000 0.000
-1.863 3.226 0.000
0.000 0.000 8.129
ATOMIC_POSITIONS crystal
Hg 0.000 0.000 0.000
Hg 0.333 0.667 0.249
Hg 0.333 0.667 0.751
Cl 0.000 0.000 0.500
```

Values from the calculation:
polymorph energy (0 for the lowest one): 26 meV per atom
SG: P-6m2

***

5.
DFT (GGA-PBEsol) results for a geometry-optimized HgCl2 structure. Values from VASP.

Cell and atoms, written as Quantum ESPRESSO input:
```
&SYSTEM
  ibrav = 0, nat = 3, ntyp = 2
/
ATOMIC_SPECIES
Hg 200.59 Hg.upf
Cl 35.45 Cl.upf
CELL_PARAMETERS angstrom
-1.676 1.676 6.128
1.676 -1.676 6.128
1.676 1.676 -6.128
ATOMIC_POSITIONS crystal
Hg 0.000 0.000 0.000
Cl 0.369 0.369 0.000
Cl 0.631 0.631 0.000
```

Values from the calculation:
SG: I4/mmm

***

6.
DFT (GGA-PBEsol) results for a geometry-optimized HgCl3 structure. Values from VASP.

Cell and atoms, written as Quantum ESPRESSO input:
```
&SYSTEM
  ibrav = 0, nat = 16, ntyp = 2
/
ATOMIC_SPECIES
Hg 200.59 Hg.upf
Cl 35.45 Cl.upf
CELL_PARAMETERS angstrom
5.273 0.000 0.000
0.000 10.511 0.000
0.000 0.000 7.018
ATOMIC_POSITIONS crystal
Hg 0.100 0.250 0.025
Hg 0.400 0.750 0.525
Hg 0.600 0.250 0.475
Hg 0.900 0.750 0.975
Cl 0.101 0.250 0.384
Cl 0.106 0.074 0.772
Cl 0.106 0.426 0.772
Cl 0.394 0.574 0.272
Cl 0.394 0.926 0.272
Cl 0.399 0.750 0.884
Cl 0.601 0.250 0.116
Cl 0.606 0.074 0.728
Cl 0.606 0.426 0.728
Cl 0.894 0.574 0.228
Cl 0.894 0.926 0.228
Cl 0.899 0.750 0.616
```

Values from the calculation:
SG: Pnma

***

7.
DFT (GGA-PBEsol) results for a geometry-optimized HgCl2 structure. Values from VASP.

Cell and atoms, written as Quantum ESPRESSO input:
```
&SYSTEM
  ibrav = 0, nat = 12, ntyp = 2
/
ATOMIC_SPECIES
Hg 200.59 Hg.upf
Cl 35.45 Cl.upf
CELL_PARAMETERS angstrom
12.419 0.000 0.000
0.000 3.837 0.000
0.000 0.000 6.657
ATOMIC_POSITIONS crystal
Hg 0.132 0.250 0.084
Hg 0.368 0.750 0.584
Hg 0.632 0.250 0.416
Hg 0.868 0.750 0.916
Cl 0.011 0.750 0.235
Cl 0.243 0.250 0.460
Cl 0.257 0.750 0.960
Cl 0.489 0.250 0.735
Cl 0.511 0.750 0.265
Cl 0.743 0.250 0.040
Cl 0.757 0.750 0.540
Cl 0.989 0.250 0.765
```

Values from the calculation:
SG: Pnma

***

8.
DFT (GGA-PBEsol) results for a geometry-optimized HgCl2 structure. Values from VASP.

Cell and atoms, written as Quantum ESPRESSO input:
```
&SYSTEM
  ibrav = 0, nat = 6, ntyp = 2
/
ATOMIC_SPECIES
Hg 200.59 Hg.upf
Cl 35.45 Cl.upf
CELL_PARAMETERS angstrom
1.904 -8.086 0.000
1.904 8.086 0.000
0.000 0.000 5.668
ATOMIC_POSITIONS crystal
Hg 0.175 0.825 0.750
Hg 0.825 0.175 0.250
Cl 0.206 0.794 0.250
Cl 0.426 0.574 0.250
Cl 0.574 0.426 0.750
Cl 0.794 0.206 0.750
```

Values from the calculation:
SG: Cmcm

***

9.
DFT (GGA-PBEsol) results for a geometry-optimized Hg3Cl structure. Values from VASP.

Cell and atoms, written as Quantum ESPRESSO input:
```
&SYSTEM
  ibrav = 0, nat = 4, ntyp = 2
/
ATOMIC_SPECIES
Hg 200.59 Hg.upf
Cl 35.45 Cl.upf
CELL_PARAMETERS angstrom
3.014 -4.233 0.000
3.014 4.233 0.000
0.000 0.000 4.000
ATOMIC_POSITIONS crystal
Hg 0.000 0.000 0.000
Hg 0.245 0.755 0.500
Hg 0.755 0.245 0.500
Cl 0.500 0.500 0.000
```

Values from the calculation:
polymorph energy (0 for the lowest one): 11 meV per atom
SG: Cmmm

***

10.
DFT (GGA-PBEsol) results for a geometry-optimized Hg5Cl structure. Values from VASP.

Cell and atoms, written as Quantum ESPRESSO input:
```
&SYSTEM
  ibrav = 0, nat = 6, ntyp = 2
/
ATOMIC_SPECIES
Hg 200.59 Hg.upf
Cl 35.45 Cl.upf
CELL_PARAMETERS angstrom
6.253 -2.062 0.000
6.253 2.062 0.000
-4.217 0.000 5.974
ATOMIC_POSITIONS crystal
Hg 0.000 0.000 0.000
Hg 0.349 0.349 0.660
Hg 0.513 0.513 0.488
Hg 0.675 0.675 0.330
Hg 0.835 0.835 0.170
Cl 0.174 0.174 0.829
```

Values from the calculation:
polymorph energy (0 for the lowest one): 0 meV per atom
SG: Cm

***

11.
DFT (GGA-PBEsol) results for a geometry-optimized HgCl5 structure. Values from VASP.

Cell and atoms, written as Quantum ESPRESSO input:
```
&SYSTEM
  ibrav = 0, nat = 6, ntyp = 2
/
ATOMIC_SPECIES
Hg 200.59 Hg.upf
Cl 35.45 Cl.upf
CELL_PARAMETERS angstrom
7.007 -1.828 0.000
7.007 1.828 0.000
-1.690 0.000 6.372
ATOMIC_POSITIONS crystal
Hg 0.000 0.000 0.000
Cl 0.274 0.274 0.225
Cl 0.274 0.274 0.529
Cl 0.535 0.535 0.759
Cl 0.536 0.536 0.281
Cl 0.805 0.805 0.893
```

Values from the calculation:
SG: Cm

***

12.
DFT (GGA-PBEsol) results for a geometry-optimized HgCl structure. Values from VASP.

Cell and atoms, written as Quantum ESPRESSO input:
```
&SYSTEM
  ibrav = 0, nat = 4, ntyp = 2
/
ATOMIC_SPECIES
Hg 200.59 Hg.upf
Cl 35.45 Cl.upf
CELL_PARAMETERS angstrom
5.419 -1.771 0.000
5.419 1.771 0.000
-3.394 0.000 5.062
ATOMIC_POSITIONS crystal
Hg 0.131 0.131 0.381
Hg 0.869 0.869 0.619
Cl 0.414 0.414 0.165
Cl 0.586 0.586 0.835
```

Values from the calculation:
polymorph energy (0 for the lowest one): 172 meV per atom
SG: C2/m

***

Number 1: M_tot 0.000 μB/atom, VASP energy -1.088 eV per atom. Number 2: M_tot 0.000 μB/atom, VASP energy -1.649 eV per atom. Number 3: M_tot 0.000 μB/atom, VASP energy -1.462 eV per atom. Number 4: M_tot 0.000 μB/atom, VASP energy -1.091 eV per atom. Number 5: M_tot 0.000 μB/atom, VASP energy -1.772 eV per atom. Number 6: M_tot 0.000 μB/atom, VASP energy -1.926 eV per atom. Number 7: M_tot 0.000 μB/atom, VASP energy -2.082 eV per atom. Number 8: M_tot 0.000 μB/atom, VASP energy -2.065 eV per atom. Number 9: M_tot 0.000 μB/atom, VASP energy -1.106 eV per atom. Number 10: M_tot 0.000 μB/atom, VASP energy -0.930 eV per atom. Number 11: M_tot 0.001 μB/atom, VASP energy -1.903 eV per atom. Number 12: M_tot 0.000 μB/atom, VASP energy -1.626 eV per atom.